[1]
The following is a DFT calculation (PBE) of a relaxed structure of KLi2Ca2Bi2.

Geometry as extended XYZ:
```
7
Lattice="5.0841 0.0000 0.0000 2.5421 4.4030 0.0000 2.5421 1.4677 10.0661" Properties=species:S:1:pos:R:3 pbc="T T T"
Li 5.0841 2.9353 7.3428
Ca 7.6262 4.4030 4.0225
Li 5.0841 2.9353 2.7233
Bi 7.6262 4.4030 7.4649
Bi 2.5421 1.4677 2.6012
K 0.0000 0.0000 0.0000
Ca 2.5421 1.4677 6.0436
```

Calculated values
**ΔH_f (0 K)**: -576 meV/atom
**Crystal system**: trigonal
**E**: -2.9601 eV/atom
**Theoretical density**: 4.06 g/cm3
**SG**: R-3m



[2]
The following is a DFT calculation (PBE) of a relaxed structure of KCaNbBiO6.

Geometry as extended XYZ:
```
10
Lattice="0.0000 4.2123 4.2123 4.2123 0.0000 4.2123 4.2123 4.2123 0.0000" Properties=species:S:1:pos:R:3 pbc="T T T"
O 6.2134 4.2123 4.2123
O 4.2123 4.2123 2.2112
O 4.2123 2.2112 4.2123
Bi 0.0000 0.0000 0.0000
O 2.2112 4.2123 4.2123
Nb 4.2123 4.2123 4.2123
O 4.2123 6.2134 4.2123
O 4.2123 4.2123 6.2134
K 6.3184 6.3184 6.3184
Ca 2.1061 2.1061 2.1061
```

Calculated values
**Crystal system**: cubic
**E**: -6.6648 eV/atom
**Theoretical density**: 5.30 g/cm3
**Formation energy (no corrections)**: -45.77 kcal/mol of atoms
**SG**: F-43m



[3]
The following is a DFT calculation (PBE) of a relaxed structure of KCaNi2Bi.

Geometry as extended XYZ:
```
5
Lattice="-1.8087 -4.7383 -0.7616 3.9434 -0.8081 -4.3374 3.3691 -1.8332 3.4046" Properties=species:S:1:pos:R:3 pbc="T T T"
Ni 1.6846 -0.9166 1.7023
Ca 0.0000 0.0000 0.0000
Bi 1.9717 -0.4040 -2.1687
Ni -0.9043 -2.3692 -0.3808
K 2.7519 -3.6898 -0.8472
```

Calculated values
**ΔH_f (0 K)**: 885 meV/atom
**Crystal system**: tetragonal
**E**: -2.8231 eV/atom
**Theoretical density**: 4.33 g/cm3
**SG**: P4/mmm



Question: Among the records above, which one has the highest theoretical density?
Answer: KCaNbBiO6